Record 1
CaSbTe2N (GGA-PBE, relaxed); raw formation energy = 80 meV per atom; density of states at the Fermi level = 3.303 states/eV/cell; total DFT energy (no corrections) = -4.067 eV/atom; polymorph energy (0 for the lowest one) = 0 meV per atom
1.0
4.8273 0.0000 0.0000
0.0000 4.8273 0.0000
0.0000 0.0000 4.9767
Ca Sb Te N
1 1 2 1
Direct
0.0000 0.0000 0.0000 Ca
0.5000 0.5000 0.0000 Sb
0.0000 0.5000 0.5000 Te
0.5000 0.0000 0.5000 Te
0.5000 0.5000 0.5000 N

***

Record 2
LuCuAgHg (GGA-PBE, relaxed); formation energy = -181.8 meV/atom; density of states at the Fermi level = 2.999 states/eV/cell; total DFT energy (no corrections) = -3.124 eV/atom
1.0
0.0000 3.3762 3.3762
3.3762 0.0000 3.3762
3.3762 3.3762 0.0000
Lu Cu Ag Hg
1 1 1 1
Direct
0.0000 0.0000 0.0000 Lu
0.2500 0.2500 0.2500 Cu
0.7500 0.7500 0.7500 Ag
0.5000 0.5000 0.5000 Hg

***

Record 3
TmGa2Ir (GGA-PBE, relaxed); formation energy = -576.9 meV/atom; density of states at the Fermi level = 0.965 states/eV/cell; total DFT energy (no corrections) = -5.423 eV/atom
1.0
0.0000 3.2374 3.2374
3.2374 0.0000 3.2374
3.2374 3.2374 0.0000
Tm Ga Ir
1 2 1
Direct
0.0000 0.0000 0.0000 Tm
0.2500 0.2500 0.2500 Ga
0.7500 0.7500 0.7500 Ga
0.5000 0.5000 0.5000 Ir

***

Record 4
CeCdHg3 (GGA-PBE, relaxed); formation energy = -192.2 meV/atom; density of states at the Fermi level = 16.641 states/eV/cell; total DFT energy (no corrections) = -1.743 eV/atom; polymorph energy (0 for the lowest one) = 0 meV per atom
1.0
5.2325 0.0000 0.0000
0.0000 5.6756 0.0000
-2.6263 0.0000 8.5361
Ce Cd Hg
2 2 6
Direct
0.1399 0.2500 0.2777 Ce
0.8601 0.7500 0.7223 Ce
0.3390 0.2500 0.6746 Cd
0.6610 0.7500 0.3254 Cd
0.0550 0.7500 0.1091 Hg
0.2494 0.7500 0.5016 Hg
0.5000 0.0000 0.0000 Hg
0.5000 0.5000 0.0000 Hg
0.7506 0.2500 0.4984 Hg
0.9450 0.2500 0.8909 Hg

***

Record 5
SrLaAu (GGA-PBE, relaxed); formation energy = -490.6 meV/atom; density of states at the Fermi level = 6.069 states/eV/cell; total DFT energy (no corrections) = -3.786 eV/atom; polymorph energy (0 for the lowest one) = 0 meV per atom
1.0
1.9245 -8.8752 0.0000
1.9245 8.8752 0.0000
0.0000 0.0000 5.6682
Sr La Au
2 2 2
Direct
0.0707 0.9293 0.7500 Sr
0.9293 0.0707 0.2500 Sr
0.2222 0.7778 0.2500 La
0.7778 0.2222 0.7500 La
0.4140 0.5860 0.7500 Au
0.5860 0.4140 0.2500 Au

***

Record 6
CaLaPr2 (GGA-PBE, relaxed); formation energy = 31.6 meV/atom; density of states at the Fermi level = 5.999 states/eV/cell; total DFT energy (no corrections) = -4.090 eV/atom; polymorph energy (0 for the lowest one) = 4 meV per atom
1.0
3.7448 0.0000 0.0000
0.0000 3.7448 0.0000
0.0000 0.0000 10.6988
Ca La Pr
1 1 2
Direct
0.0000 0.0000 0.0000 Ca
0.0000 0.0000 0.5000 La
0.5000 0.5000 0.2627 Pr
0.5000 0.5000 0.7373 Pr